1.
Entry from Alexandria: an optimized crystal structure of HfZn3Os (PBEsol).

a b c (Å): 4.8551 4.8551 4.8551
angles (deg): 90.00 90.00 90.00
Closest atoms and distances in Å follow each position.
Element x y z (fractional)
Zn 0.0000 0.5000 0.0000  2 Hf 2.43
Os 0.5000 0.5000 0.5000  12 Zn 3.43
Zn 0.5000 0.0000 0.0000  2 Hf 2.43
Zn 0.0000 0.0000 0.5000  2 Hf 2.43
Hf 0.0000 0.0000 0.0000  6 Zn 2.43



2.
Entry from Alexandria: an optimized crystal structure of Hf3ZrOs (PBEsol).

a b c (Å): 4.9437 4.9437 4.9437
angles (deg): 90.00 90.00 90.00
Closest atoms and distances in Å follow each position.
Element x y z (fractional)
Hf 0.0000 0.5000 0.0000  2 Os 2.47
Os 0.0000 0.0000 0.0000  6 Hf 2.47
Hf 0.0000 0.0000 0.5000  2 Os 2.47
Hf 0.5000 0.0000 0.0000  2 Os 2.47
Zr 0.5000 0.5000 0.5000  12 Hf 3.50



Number 1: electronic total energy -3.312 eV/atom. Number 2: electronic total energy -10.112 eV/atom.